Run A
Below is Ce2PrCo after structural relaxation, with properties calculated at the PBE-GGA level.

Cell lengths 3.7602, 3.7602, 9.2270 Å; angles 78.24, 78.24, 60.00 degrees
Positions (direct):
Ce  0.0583  0.0583  0.8252
Ce  0.2756  0.2756  0.1733
Pr  0.4998  0.4998  0.5007
Co  0.6664  0.6664  0.0008

Summary:
- density of states at the Fermi level (states/eV per atom) = 2.14

***

Run B
Below is Ce2PrCo after structural relaxation, with properties calculated at the PBE-GGA level.

Cell lengths 3.5001, 3.5001, 8.4276 Å; angles 90.00, 90.00, 90.00 degrees
Positions (direct):
Pr  0.5000  0.5000  0.5000
Co  0.5000  0.5000  0.0000
Ce  0.0000  0.0000  0.8309
Ce  0.0000  0.0000  0.1691

Summary:
- density of states at the Fermi level (states/eV per atom) = 2.28

***

Relative energies, unit eV/atom: run A 0.000; run B 0.015

***

Run A
Below is Ce3CoPt after structural relaxation, with properties calculated at the PBE-GGA level.

Cell lengths 4.4805, 7.5930, 7.9866 Å; angles 122.57, 90.00, 90.00 degrees
Positions (direct):
Ce  0.7500  0.6276  0.3991
Ce  0.2500  0.3724  0.6009
Ce  0.7500  0.3258  0.8860
Ce  0.2500  0.9567  0.7913
Ce  0.2500  0.6742  0.1140
Ce  0.7500  0.0433  0.2087
Co  0.2500  0.9338  0.4314
Co  0.7500  0.0662  0.5686
Pt  0.2500  0.3055  0.2018
Pt  0.7500  0.6945  0.7982

Summary:
- density of states at the Fermi level (states/eV per atom) = 2.55

***

Run B
Below is Ce3CoPt after structural relaxation, with properties calculated at the PBE-GGA level.

Cell lengths 6.0611, 9.7766, 10.5447 Å; angles 129.84, 90.00, 90.00 degrees
Positions (direct):
Ce  0.0945  0.7432  0.6330
Ce  0.9055  0.2568  0.3670
Ce  0.5945  0.7568  0.8670
Ce  0.4055  0.2432  0.1330
Ce  0.6334  0.6520  0.4557
Ce  0.3666  0.3480  0.5443
Ce  0.1334  0.8480  0.0443
Ce  0.8666  0.1520  0.9557
Ce  0.1342  0.6193  0.2144
Ce  0.8658  0.3807  0.7856
Ce  0.6342  0.8807  0.2856
Ce  0.3658  0.1193  0.7144
Co  0.2039  0.4740  0.3649
Co  0.7961  0.5260  0.6351
Co  0.7039  0.0260  0.1351
Co  0.2961  0.9740  0.8649
Pt  0.8417  0.9970  0.5987
Pt  0.1583  0.0030  0.4013
Pt  0.3417  0.5030  0.9013
Pt  0.6583  0.4970  0.0987

Summary:
- density of states at the Fermi level (states/eV per atom) = 2.58

***

Relative energies, unit eV/atom: run A 0.000; run B 0.070

***

Run A
Below is Ce4CoPt after structural relaxation, with properties calculated at the PBE-GGA level.

Cell lengths 4.6866, 6.2431, 10.2084 Å; angles 90.00, 103.27, 90.00 degrees
Positions (direct):
Ce  0.9162  0.3224  0.8323
Ce  0.0838  0.8224  0.1677
Ce  0.4424  0.8223  0.8848
Ce  0.5576  0.3223  0.1152
Ce  0.7061  0.5957  0.4121
Ce  0.2939  0.0957  0.5879
Ce  0.7061  0.0486  0.4123
Ce  0.2939  0.5486  0.5877
Co  0.5792  0.8223  0.1585
Co  0.4208  0.3223  0.8415
Pt  0.8481  0.8221  0.6962
Pt  0.1519  0.3221  0.3038

Summary:
- density of states at the Fermi level (states/eV per atom) = 2.40

***

Run B
Below is Ce4CoPt after structural relaxation, with properties calculated at the PBE-GGA level.

Cell lengths 5.7400, 7.8609, 7.5004 Å; angles 115.90, 105.26, 103.17 degrees
Positions (direct):
Ce  0.0480  0.2201  0.8118
Ce  0.7982  0.6964  0.6477
Ce  0.2638  0.5916  0.8118
Ce  0.3495  0.9513  0.6477
Ce  0.6505  0.0487  0.3523
Ce  0.7362  0.4084  0.1882
Ce  0.2018  0.3036  0.3523
Ce  0.9520  0.7799  0.1882
Co  0.2532  0.0032  0.0064
Co  0.7468  0.9968  0.9936
Pt  0.3723  0.6223  0.2445
Pt  0.6277  0.3777  0.7555

Summary:
- density of states at the Fermi level (states/eV per atom) = 2.20

***

Relative energies, unit eV/atom: run A 0.037; run B 0.000